Run 1
Sc2Sb2Te | PBE-GGA | relaxed

## Properties
**Density**: 5.832 Mg/m³

a = 4.2019 Å, b = 4.2019 Å, c = 8.0068 Å
α = 74.79°, β = 74.79°, γ = 90.00°
Each line ends with the local moment (μB).
Fractional positions:
Sb  0.7500  0.2500  0.5000  -0.01
Sb  0.2500  0.7500  0.5000  -0.01
Sc  0.3955  0.3955  0.2090  0.11
Sc  0.6045  0.6045  0.7910  0.11
Te  0.0000  0.0000  0.0000  -0.01


Run 2
Sc2Sb2Te | PBE-GGA | relaxed

## Properties
**Density**: 6.131 Mg/m³

a = 7.8659 Å, b = 7.8659 Å, c = 4.0363 Å
α = 90.00°, β = 90.00°, γ = 90.00°
Fractional positions:
Sc  0.1605  0.3395  0.0000
Sc  0.6605  0.1605  0.0000
Sc  0.3395  0.8395  0.0000
Sc  0.8395  0.6605  0.0000
Sb  0.6389  0.8611  0.5000
Sb  0.8611  0.3611  0.5000
Sb  0.1389  0.6389  0.5000
Sb  0.3611  0.1389  0.5000
Te  0.0000  0.0000  0.0000
Te  0.5000  0.5000  0.0000


Stability comparison, relative energies in eV/atom: run 1 0.081; run 2 0.000


Run 1
ScSb3Te | PBE-GGA | relaxed

## Properties
**Density**: 5.017 Mg/m³

a = 5.6253 Å, b = 5.6253 Å, c = 5.6253 Å
α = 90.00°, β = 90.00°, γ = 90.00°
Fractional positions:
Sc  0.5000  0.5000  0.5000
Sb  0.0000  0.5000  0.0000
Sb  0.0000  0.0000  0.5000
Sb  0.5000  0.0000  0.0000
Te  0.0000  0.0000  0.0000


Run 2
ScSb3Te | PBE-GGA | relaxed

## Properties
**Density**: 5.449 Mg/m³

a = 5.4726 Å, b = 5.4726 Å, c = 5.4726 Å
α = 90.00°, β = 90.00°, γ = 90.00°
Fractional positions:
Sb  0.0000  0.0000  0.5000
Sb  0.5000  0.0000  0.0000
Sb  0.0000  0.5000  0.0000
Te  0.5000  0.5000  0.5000
Sc  0.0000  0.0000  0.0000


Stability comparison, relative energies in eV/atom: run 1 0.435; run 2 0.000